[1]
First-principles (PBE) data for SrAl2Sb2S7 after structural relaxation, as listed in Alexandria via LeMat-Bulk.

The magnetization is 0.0 Bohr magnetons per cell. The total energy is -4.724 eV/atom. Its formation energy without anion corrections is -83.5 kJ/mol of atoms.

The space group is R32 (No. 155, hexagonal axes) and the conventional cell measures 6.5027, 6.5027 and 30.2792 Å, with angles of 90.00, 90.00 and 120.00 degrees. The asymmetric unit holds Sr at (0.0000, 0.0000, 0.0000), Al at (0.0000, 0.0000, 0.4274), Sb at (0.0000, 0.0000, 0.2256), S at (0.0000, 0.0000, 0.5000) and S at (0.0007, 0.3647, 0.0639).

=====

[2]
First-principles (PBE) data for CoNi2Sn after structural relaxation, as listed in Alexandria via LeMat-Bulk.

The magnetization is 1.1 Bohr magnetons per cell. For the formation energy, the calculation gives -0.058 eV per atom. The total energy is -5.726 eV/atom.

The space group is P4/mmm (No. 123) and the conventional cell measures 3.703, 3.703 and 3.788 Å, with angles of 90.00, 90.00 and 90.00 degrees. The asymmetric unit holds Co at (0.000, 0.000, 0.000), Ni at (0.000, 0.500, 0.500) and Sn at (0.500, 0.500, 0.000).

=====

[3]
First-principles (PBE) data for Ca2ZnRhI after structural relaxation, as listed in Alexandria via LeMat-Bulk.

The magnetization is 0.0 Bohr magnetons per cell. The total energy is -3.356 eV/atom. Its formation energy without anion corrections is -50.2 kJ/mol of atoms.

The space group is P4/mmm (No. 123) and the conventional cell measures 5.511, 5.511 and 4.847 Å, with angles of 90.00, 90.00 and 90.00 degrees. The asymmetric unit holds Ca at (0.000, 0.500, 0.000), Zn at (0.000, 0.000, 0.500), Rh at (0.000, 0.000, 0.000) and I at (0.500, 0.500, 0.500).

=====

[4]
First-principles (PBE) data for Ca2PuPt2 after structural relaxation, as listed in Alexandria via LeMat-Bulk.

The magnetization is 11.3 Bohr magnetons per cell. For the formation energy, the calculation gives -0.707 eV per atom. The total energy is -6.791 eV/atom.

The space group is Immm (No. 71) and the conventional cell measures 4.209, 6.522 and 9.158 Å, with angles of 90.00, 90.00 and 90.00 degrees. The asymmetric unit holds Ca at (0.000, 0.000, 0.196), Pu at (0.000, 0.500, 0.000) and Pt at (0.000, 0.286, 0.500).

=====

[5]
First-principles (PBE) data for MgSn4Pb after structural relaxation, as listed in Alexandria via LeMat-Bulk.

The magnetization is 0.0 Bohr magnetons per cell. As for the excess energy over the best structure of this formula in the dataset: 0.093 eV per atom. For the formation energy, the calculation gives 0.092 eV per atom. The total energy is -3.461 eV/atom.

The space group is F-43m (No. 216) and the conventional cell measures 8.864, 8.864 and 8.864 Å, with angles of 90.00, 90.00 and 90.00 degrees. The asymmetric unit holds Mg at (0.000, 0.000, 0.000), Sn at (0.125, 0.125, 0.375) and Pb at (0.250, 0.250, 0.750).

=====

[6]
First-principles (PBE) data for AlTe2Br after structural relaxation, as listed in Alexandria via LeMat-Bulk.

The magnetization is 0.0 Bohr magnetons per cell. As for the excess energy over the best structure of this formula in the dataset: 0.343 eV per atom. The total energy is -2.958 eV/atom. Its formation energy without anion corrections is -3.2 kJ/mol of atoms.

The space group is P4/mmm (No. 123) and the conventional cell measures 3.713, 3.713 and 7.682 Å, with angles of 90.00, 90.00 and 90.00 degrees. The asymmetric unit holds Al at (0.000, 0.000, 0.000), Te at (0.500, 0.500, 0.191) and Br at (0.000, 0.000, 0.500).

=====

[7]
First-principles (PBE) data for LiPr3Zn2 after structural relaxation, as listed in Alexandria via LeMat-Bulk.

The magnetization is 0.0 Bohr magnetons per cell. For the formation energy, the calculation gives -0.183 eV per atom. The total energy is -3.317 eV/atom.

The space group is P-3m1 (No. 164) and the conventional cell measures 5.2888, 5.2888 and 12.9766 Å, with angles of 90.00, 90.00 and 120.00 degrees. The asymmetric unit holds Li at (0.3333, 0.6667, 0.1706), Pr at (0.0000, 0.0000, 0.2553), Pr at (0.3333, 0.6667, 0.4223), Pr at (0.3333, 0.6667, 0.9181), Zn at (0.0000, 0.0000, 0.0000), Zn at (0.0000, 0.0000, 0.5000) and Zn at (0.3333, 0.6667, 0.6732).

=====

[8]
First-principles (PBE) data for In2Pb2S after structural relaxation, as listed in Alexandria via LeMat-Bulk.

The magnetization is 0.0 Bohr magnetons per cell. As for the excess energy over the best structure of this formula in the dataset: 0.000 eV per atom. The total energy is -3.369 eV/atom. Its formation energy without anion corrections is 3.4 kJ/mol of atoms.

The space group is P4/mbm (No. 127) and the conventional cell measures 7.825, 7.825 and 4.861 Å, with angles of 90.00, 90.00 and 90.00 degrees. The asymmetric unit holds In at (0.149, 0.351, 0.000), Pb at (0.164, 0.664, 0.500) and S at (0.000, 0.000, 0.500).

=====

[9]
First-principles (PBE) data for Pr3Dy6Tm2Tl after structural relaxation, as listed in Alexandria via LeMat-Bulk.

The magnetization is 0.9 Bohr magnetons per cell. For the formation energy, the calculation gives -0.004 eV per atom. The total energy is -4.442 eV/atom.

The space group is C2/m (No. 12) and the conventional cell measures 6.178, 10.707 and 11.646 Å, with angles of 90.00, 100.25 and 90.00 degrees. The asymmetric unit holds Pr at (0.000, 0.000, 0.000), Pr at (0.000, 0.333, 0.000), Dy at (0.244, 0.336, 0.741), Dy at (0.249, 0.500, 0.257), Tm at (0.000, 0.166, 0.500) and Tl at (0.000, 0.500, 0.500).

=====

[10]
First-principles (PBE) data for ZrSc6Tl5 after structural relaxation, as listed in Alexandria via LeMat-Bulk.

The magnetization is 3.6 Bohr magnetons per cell. For the formation energy, the calculation gives -0.229 eV per atom. The total energy is -5.093 eV/atom.

The space group is Immm (No. 71) and the conventional cell measures 5.086, 7.130 and 15.406 Å, with angles of 90.00, 90.00 and 90.00 degrees. The asymmetric unit holds Zr at (0.000, 0.000, 0.000), Sc at (0.000, 0.243, 0.500), Sc at (0.000, 0.250, 0.168), Tl at (0.000, 0.000, 0.332), Tl at (0.000, 0.500, 0.000) and Tl at (0.000, 0.500, 0.347).

=====

[11]
First-principles (PBE) data for HgSb3As after structural relaxation, as listed in Alexandria via LeMat-Bulk.

The magnetization is 0.0 Bohr magnetons per cell. As for the excess energy over the best structure of this formula in the dataset: 0.000 eV per atom. The total energy is -2.853 eV/atom. Its formation energy without anion corrections is 58.9 kJ/mol of atoms.

The space group is Pm-3m (No. 221) and the conventional cell measures 5.437, 5.437 and 5.437 Å, with angles of 90.00, 90.00 and 90.00 degrees. The asymmetric unit holds Hg at (0.000, 0.000, 0.000), Sb at (0.000, 0.500, 0.500) and As at (0.500, 0.500, 0.500).

=====

[12]
First-principles (PBE) data for BeCrBiOs2 after structural relaxation, as listed in Alexandria via LeMat-Bulk.

The magnetization is 0.4 Bohr magnetons per cell. For the formation energy, the calculation gives 2.889 eV per atom. The total energy is -5.049 eV/atom.

The space group is P4/mmm (No. 123) and the conventional cell measures 4.973, 4.973 and 4.372 Å, with angles of 90.00, 90.00 and 90.00 degrees. The asymmetric unit holds Be at (0.000, 0.000, 0.000), Cr at (0.500, 0.500, 0.000), Bi at (0.000, 0.000, 0.500) and Os at (0.000, 0.500, 0.500).

=====

- Which of these has the highest magnetization?
  Ca2PuPt2